# 1
Material: PmCdBi2
Method: DFT, GGA-PBE
State: relaxed

energy above the most stable polymorph in this dataset: 0.0 meV/atom
ΔE_f: -0.45 eV/atom
calculated total energy: -3.81 eV per atom
total moment: 0.0 μB/f.u.
mass density: 9.7 Mg/m³

Cell lengths 4.5994, 4.5994, 10.9854 Å; angles 90.00, 90.00, 90.00 degrees
With the nearest neighbours (Å) after each atom.
Space group P4/nmm (No. 129, origin choice 2)
Symmetry-distinct sites (fractional):
Pm  0.2500  0.2500  0.2317 x2  8 Bi 3.31-3.43
Cd  0.2500  0.7500  0.5000 x2  4 Cd 3.25, 4 Bi 3.27
Bi  0.2500  0.2500  0.7113 x2  4 Cd 3.27, 4 Pm 3.31
Bi  0.2500  0.7500  0.0000 x2  4 Bi 3.25, 4 Pm 3.43

# 2
Material: PmCdBi2
Method: DFT, GGA-PBE
State: relaxed

energy above the most stable polymorph in this dataset: 231.8 meV/atom
ΔE_f: -0.22 eV/atom
calculated total energy: -3.57 eV per atom
total moment: 0.0 μB/f.u.
mass density: 9.4 Mg/m³

Cell lengths 7.8116, 7.8116, 7.8116 Å; angles 90.00, 90.00, 90.00 degrees
With the nearest neighbours (Å) after each atom.
Space group Fm-3m (No. 225)
Symmetry-distinct sites (fractional):
Pm  0.0000  0.0000  0.0000 x4  8 Bi 3.38
Cd  0.0000  0.0000  0.5000 x4  8 Bi 3.38
Bi  0.2500  0.2500  0.2500 x8  4 Cd 3.38, 4 Pm 3.38